# 1
YTh4Zn5 | Alexandria via LeMat-Bulk | PBE | relaxed; SG = P4/mmm (123); energy relative to the elements = -0.210 eV per atom
1.0
3.6475 0.0000 0.0000
0.0000 3.6475 0.0000
0.0000 0.0000 18.2708
Y Th Zn
1 4 5
direct
0.0000 0.0000 0.0000
0.0000 0.0000 0.1978
0.0000 0.0000 0.3993
0.0000 0.0000 0.6007
0.0000 0.0000 0.8022
0.5000 0.5000 0.0919
0.5000 0.5000 0.2983
0.5000 0.5000 0.5000
0.5000 0.5000 0.7017
0.5000 0.5000 0.9081



# 2
SbPN2 | Alexandria via LeMat-Bulk | PBE | relaxed; ΔE_f (raw) = 728.4 meV per atom; SG = R-3m (166); polymorph energy (0 for the lowest one) = 41.3 kJ/mol of atoms
1.0
3.1823 0.0000 0.0000
-1.5912 2.7560 0.0000
0.0000 0.0000 18.9877
Sb P N
3 3 6
direct
0.0000 0.0000 0.0000
0.3333 0.6667 0.6667
0.6667 0.3333 0.3333
0.0000 0.0000 0.5000
0.3333 0.6667 0.1667
0.6667 0.3333 0.8333
0.0000 0.0000 0.3944
0.0000 0.0000 0.6056
0.3333 0.6667 0.0611
0.3333 0.6667 0.2722
0.6667 0.3333 0.7278
0.6667 0.3333 0.9389